Entry 1:
DFT (PBE-GGA) results for a relaxed Rb2Tl2In3 crystal.

* SG: C2/m
* formation energy from the elements: -0.063 eV/atom
* total DFT energy (no corrections): -30.647 eV for the cell shown

```
data_Rb2Tl2In3
_chemical_formula_sum 'Rb4 Tl4 In6'
_space_group_name_H-M_alt 'P 1'
_space_group_IT_number 1
_cell_length_a 13.589
_cell_length_b 5.237
_cell_length_c 8.162
_cell_angle_alpha 90.00
_cell_angle_beta 120.56
_cell_angle_gamma 90.00
loop_
_space_group_symop_operation_xyz
'x,y,z'
loop_
_atom_site_label
_atom_site_type_symbol
_atom_site_fract_x
_atom_site_fract_y
_atom_site_fract_z
Rb1 Rb 0.158 0.000 0.294
Rb2 Rb 0.342 0.500 0.706
Rb3 Rb 0.658 0.500 0.294
Rb4 Rb 0.842 0.000 0.706
Tl1 Tl 0.151 0.000 0.777
Tl2 Tl 0.349 0.500 0.223
Tl3 Tl 0.651 0.500 0.777
Tl4 Tl 0.849 0.000 0.223
In1 In 0.000 0.500 0.500
In2 In 0.084 0.500 0.924
In3 In 0.416 0.000 0.076
In4 In 0.500 0.000 0.500
In5 In 0.584 0.000 0.924
In6 In 0.916 0.500 0.076
```

Entry 2:
DFT (PBE-GGA) results for a relaxed BaLiNpI6 crystal.

* formation energy (no corrections): -1206 meV/atom
* SG: P-31c
* total DFT energy (no corrections): -73.862 eV for the cell shown

```
data_BaLiNpI6
_chemical_formula_sum 'Ba2 Li2 Np2 I12'
_space_group_name_H-M_alt 'P 1'
_space_group_IT_number 1
_cell_length_a 7.919
_cell_length_b 7.919
_cell_length_c 15.043
_cell_angle_alpha 90.00
_cell_angle_beta 90.00
_cell_angle_gamma 120.00
loop_
_space_group_symop_operation_xyz
'x,y,z'
loop_
_atom_site_label
_atom_site_type_symbol
_atom_site_fract_x
_atom_site_fract_y
_atom_site_fract_z
Ba1 Ba 0.000 0.000 0.000
Ba2 Ba 0.000 0.000 0.500
Li1 Li 0.333 0.667 0.250
Li2 Li 0.667 0.333 0.750
Np1 Np 0.333 0.667 0.750
Np2 Np 0.667 0.333 0.250
I1 I 0.008 0.365 0.134
I2 I 0.008 0.643 0.366
I3 I 0.357 0.365 0.366
I4 I 0.357 0.992 0.134
I5 I 0.365 0.008 0.634
I6 I 0.365 0.357 0.866
I7 I 0.635 0.643 0.134
I8 I 0.635 0.992 0.366
I9 I 0.643 0.008 0.866
I10 I 0.643 0.635 0.634
I11 I 0.992 0.357 0.634
I12 I 0.992 0.635 0.866
```

Entry 3:
DFT (PBE-GGA) results for a relaxed Dy7Tl2Sb2 crystal.

* formation energy (no corrections): -279 meV/atom
* SG: Cmmm
* total DFT energy (no corrections): -48.260 eV for the cell shown

```
data_Dy7Tl2Sb2
_chemical_formula_sum 'Dy7 Tl2 Sb2'
_space_group_name_H-M_alt 'P 1'
_space_group_IT_number 1
_cell_length_a 6.929
_cell_length_b 6.929
_cell_length_c 7.500
_cell_angle_alpha 90.00
_cell_angle_beta 90.00
_cell_angle_gamma 105.32
loop_
_space_group_symop_operation_xyz
'x,y,z'
loop_
_atom_site_label
_atom_site_type_symbol
_atom_site_fract_x
_atom_site_fract_y
_atom_site_fract_z
Dy1 Dy 0.000 0.000 0.000
Dy2 Dy 0.000 0.500 0.279
Dy3 Dy 0.000 0.500 0.721
Dy4 Dy 0.500 0.000 0.279
Dy5 Dy 0.500 0.000 0.721
Dy6 Dy 0.500 0.500 0.265
Dy7 Dy 0.500 0.500 0.735
Tl1 Tl 0.181 0.181 0.500
Tl2 Tl 0.819 0.819 0.500
Sb1 Sb 0.282 0.718 0.000
Sb2 Sb 0.718 0.282 0.000
```

Entry 4:
DFT (PBE-GGA) results for a relaxed PuMnPt2 crystal.

* SG: P4/mmm
* formation energy from the elements: -0.495 eV/atom
* E above lowest polymorph: 0.045 eV per atom
* total DFT energy (no corrections): -37.562 eV for the cell shown

```
data_PuMnPt2
_chemical_formula_sum 'Pu1 Mn1 Pt2'
_space_group_name_H-M_alt 'P 1'
_space_group_IT_number 1
_cell_length_a 3.269
_cell_length_b 3.269
_cell_length_c 6.841
_cell_angle_alpha 90.00
_cell_angle_beta 90.00
_cell_angle_gamma 90.00
loop_
_space_group_symop_operation_xyz
'x,y,z'
loop_
_atom_site_label
_atom_site_type_symbol
_atom_site_fract_x
_atom_site_fract_y
_atom_site_fract_z
Pu1 Pu 0.000 0.000 0.000
Mn1 Mn 0.000 0.000 0.500
Pt1 Pt 0.500 0.500 0.288
Pt2 Pt 0.500 0.500 0.712
```

Question: The lowest total DFT energy (no corrections) belongs to which entry?
Answer: BaLiNpI6